Pu5CrGe4 | PBE-GGA | optimized geometry

Values from the calculation:
For the energy of formation from the pure elements, the calculation gives -115 meV/atom. Its space group is C2/m (12). The total energy comes out at -100.9 eV per cell. For the density of states at the Fermi level, the calculation gives 23.81 states/eV/cell.

a = 4.0823 Å, b = 6.8769 Å, c = 7.4908 Å
α = 76.08°, β = 105.81°, γ = 90.00°
Closest atoms and distances in Å follow each position.
Positions (direct):
Pu (0.7784, 0.6486, 0.5569)  3 Pu 2.52-2.58
Pu (0.8340, 0.2708, 0.6681)  3 Pu 2.52-2.58
Pu (0.1660, 0.7292, 0.3319)  3 Pu 2.52-2.58
Pu (0.5000, 0.5000, 0.0000)  4 Ge 2.92
Pu (0.2216, 0.3514, 0.4431)  3 Pu 2.52-2.58
Cr (0.5000, 0.0000, 0.0000)  6 Ge 2.57-2.61
Ge (0.3302, 0.9289, 0.6604)  1 Cr 2.61, 2 Ge 2.72
Ge (0.9561, 0.8128, 0.9123)  2 Cr 2.57, 2 Ge 2.72
Ge (0.6698, 0.0711, 0.3396)  1 Cr 2.61, 2 Ge 2.72
Ge (0.0439, 0.1872, 0.0877)  2 Cr 2.57, 2 Ge 2.72